[1]
Compound: Ba2Ac2Tl3
Source: Alexandria via LeMat-Bulk
Functional: PBE
Structure: relaxed

```
Ba2Ac2Tl3
1.0
8.726 -2.896 0.000
8.726 2.896 0.000
-2.129 0.000 5.724
Ba Ac Tl
2 2 3
Cartesian
1.849 0.000 0.690 Ba
13.474 0.000 5.034 Ba
5.737 0.000 2.136 Ac
9.586 0.000 3.588 Ac
-1.064 0.000 2.862 Tl
2.720 0.000 4.266 Tl
12.603 0.000 1.458 Tl
```

Computed properties:
The crystal system is monoclinic. For the size of the total moment, the calculation gives 0.000 μB per formula unit. The value obtained for the polymorph energy (0 for the lowest one) is 30 meV/atom. As for the space group: C2/m, No. 12. Its uncorrected energy is -3.00 eV per atom.


[2]
Compound: Ba2Ac2Tl3
Source: Alexandria via LeMat-Bulk
Functional: PBE
Structure: relaxed

```
Ba2Ac2Tl3
1.0
5.829 0.000 0.000
2.907 5.060 0.000
2.911 1.665 9.746
Ba Ac Tl
2 2 3
Cartesian
1.459 0.841 1.119 Ba
10.188 5.884 8.627 Ba
4.371 2.524 3.598 Ac
7.276 4.201 6.148 Ac
1.456 0.833 4.873 Tl
4.364 2.508 7.136 Tl
7.283 4.217 2.610 Tl
```

Computed properties:
The crystal system is triclinic. For the size of the total moment, the calculation gives 0.003 μB per formula unit. The value obtained for the polymorph energy (0 for the lowest one) is 0 meV/atom. As for the space group: P-1, No. 2. Its uncorrected energy is -3.03 eV per atom.


[3]
Compound: BaAc5Tl8
Source: Alexandria via LeMat-Bulk
Functional: PBE
Structure: relaxed

```
BaAc5Tl8
1.0
-5.020 5.020 5.114
5.020 -5.020 5.114
5.020 5.020 -5.114
Ba Ac Tl
1 5 8
Cartesian
0.000 0.000 0.000 Ba
3.702 2.535 -1.316 Ac
5.020 0.000 2.557 Ac
2.485 -1.318 6.431 Ac
1.318 2.485 3.798 Ac
2.535 6.339 1.316 Ac
6.576 0.830 -0.445 Tl
1.654 -0.885 3.060 Tl
3.366 5.905 -2.054 Tl
0.830 3.465 0.445 Tl
4.135 3.366 2.054 Tl
4.190 1.555 5.559 Tl
0.885 1.654 7.169 Tl
-1.555 4.190 4.669 Tl
```

Computed properties:
The crystal system is tetragonal. For the size of the total moment, the calculation gives 0.000 μB per formula unit. As for the space group: I-4, No. 82. Its uncorrected energy is -3.25 eV per atom.


[4]
Compound: BaAcTl
Source: Alexandria via LeMat-Bulk
Functional: PBE
Structure: relaxed

```
BaAcTl
1.0
5.472 0.000 0.000
0.000 5.472 0.000
0.000 0.000 8.814
Ba Ac Tl
2 2 2
Cartesian
1.368 1.368 1.181 Ba
4.104 4.104 7.633 Ba
1.368 4.104 4.407 Ac
4.104 1.368 4.407 Ac
1.368 1.368 6.527 Tl
4.104 4.104 2.287 Tl
```

Computed properties:
The crystal system is tetragonal. For the size of the total moment, the calculation gives 0.000 μB per formula unit. The value obtained for the polymorph energy (0 for the lowest one) is 0 meV/atom. As for the space group: P4/nmm, No. 129. Its uncorrected energy is -3.06 eV per atom.


[5]
Compound: BaAc2Tl4
Source: Alexandria via LeMat-Bulk
Functional: PBE
Structure: relaxed

```
BaAc2Tl4
1.0
2.851 1.646 9.841
-2.851 1.646 9.841
0.000 -3.292 9.841
Ba Ac Tl
1 2 4
Cartesian
0.000 0.000 0.000 Ba
0.000 0.000 7.049 Ac
0.000 0.000 22.472 Ac
0.000 0.000 3.671 Tl
0.000 0.000 11.470 Tl
0.000 0.000 18.052 Tl
0.000 0.000 25.851 Tl
```

Computed properties:
The crystal system is trigonal. For the size of the total moment, the calculation gives 0.000 μB per formula unit. As for the space group: R-3m, No. 166. Its uncorrected energy is -3.00 eV per atom.


[6]
Compound: BaAcTl2
Source: Alexandria via LeMat-Bulk
Functional: PBE
Structure: relaxed

```
BaAcTl2
1.0
2.116 1.222 10.491
-2.116 1.222 10.491
0.000 -2.444 10.491
Ba Ac Tl
1 1 2
Cartesian
0.000 0.000 0.000 Ba
0.000 0.000 15.736 Ac
0.000 0.000 7.788 Tl
0.000 0.000 23.684 Tl
```

Computed properties:
The crystal system is trigonal. For the size of the total moment, the calculation gives 0.000 μB per formula unit. As for the space group: R-3m, No. 166. Its uncorrected energy is -2.92 eV per atom.


[7]
Compound: Ba2AcTl
Source: Alexandria via LeMat-Bulk
Functional: PBE
Structure: relaxed

```
Ba2AcTl
1.0
5.422 0.000 0.000
0.000 5.422 0.000
0.000 0.000 5.808
Ba Ac Tl
2 1 1
Cartesian
0.000 2.711 0.000 Ba
2.711 0.000 0.000 Ba
0.000 0.000 2.904 Ac
2.711 2.711 2.904 Tl
```

Computed properties:
The crystal system is tetragonal. For the size of the total moment, the calculation gives 0.000 μB per formula unit. The value obtained for the polymorph energy (0 for the lowest one) is 44 meV/atom. As for the space group: P4/mmm, No. 123. Its uncorrected energy is -2.65 eV per atom.


[8]
Compound: BaAc5Tl4
Source: Alexandria via LeMat-Bulk
Functional: PBE
Structure: relaxed

```
BaAc5Tl4
1.0
4.092 0.000 0.000
0.000 4.092 0.000
0.000 0.000 23.283
Ba Ac Tl
1 5 4
Cartesian
0.000 0.000 0.000 Ba
2.046 2.046 3.232 Ac
2.046 2.046 7.413 Ac
2.046 2.046 11.641 Ac
2.046 2.046 15.870 Ac
2.046 2.046 20.051 Ac
0.000 0.000 5.275 Tl
0.000 0.000 9.532 Tl
0.000 0.000 13.750 Tl
0.000 0.000 18.007 Tl
```

Computed properties:
The crystal system is tetragonal. For the size of the total moment, the calculation gives 0.000 μB per formula unit. As for the space group: P4/mmm, No. 123. Its uncorrected energy is -3.45 eV per atom.


[9]
Compound: Ba2Ac2Tl7
Source: Alexandria via LeMat-Bulk
Functional: PBE
Structure: relaxed

```
Ba2Ac2Tl7
1.0
5.796 -6.328 0.000
5.796 6.328 0.000
0.000 0.000 6.390
Ba Ac Tl
2 2 7
Cartesian
2.280 0.000 0.000 Ba
9.312 0.000 0.000 Ba
5.796 2.929 3.195 Ac
5.796 -2.929 3.195 Ac
0.000 0.000 3.195 Tl
2.898 3.164 1.548 Tl
2.898 3.164 4.842 Tl
2.898 -3.164 1.548 Tl
2.898 -3.164 4.842 Tl
5.796 0.000 1.501 Tl
5.796 0.000 4.889 Tl
```

Computed properties:
The crystal system is orthorhombic. For the size of the total moment, the calculation gives 0.000 μB per formula unit. As for the space group: Cmmm, No. 65. Its uncorrected energy is -2.64 eV per atom.


[10]
Compound: BaAc2Tl3
Source: Alexandria via LeMat-Bulk
Functional: PBE
Structure: relaxed

```
BaAc2Tl3
1.0
4.188 0.000 0.000
0.000 4.188 0.000
0.000 0.000 12.621
Ba Ac Tl
1 2 3
Cartesian
0.000 0.000 0.000 Ba
0.000 0.000 4.259 Ac
0.000 0.000 8.362 Ac
2.094 2.094 2.314 Tl
2.094 2.094 6.310 Tl
2.094 2.094 10.306 Tl
```

Computed properties:
The crystal system is tetragonal. For the size of the total moment, the calculation gives 0.000 μB per formula unit. As for the space group: P4/mmm, No. 123. Its uncorrected energy is -3.24 eV per atom.


[11]
Compound: Ba2AcTl
Source: Alexandria via LeMat-Bulk
Functional: PBE
Structure: relaxed

```
Ba2AcTl
1.0
0.000 4.477 4.477
4.477 0.000 4.477
4.477 4.477 0.000
Ba Ac Tl
2 1 1
Cartesian
2.238 2.238 2.238 Ba
6.715 6.715 6.715 Ba
0.000 0.000 0.000 Ac
4.477 4.477 4.477 Tl
```

Computed properties:
The crystal system is cubic. For the size of the total moment, the calculation gives 0.000 μB per formula unit. The value obtained for the polymorph energy (0 for the lowest one) is 152 meV/atom. As for the space group: Fm-3m, No. 225. Its uncorrected energy is -2.55 eV per atom.


[12]
Compound: Ba5Ac4Tl4
Source: Alexandria via LeMat-Bulk
Functional: PBE
Structure: relaxed

```
Ba5Ac4Tl4
1.0
-7.026 7.026 2.875
7.026 -7.026 2.875
7.026 7.026 -2.875
Ba Ac Tl
5 4 4
Cartesian
0.000 0.000 0.000 Ba
8.753 4.346 0.000 Ba
4.346 5.299 0.000 Ba
2.680 1.727 2.875 Ba
-1.727 2.680 2.875 Ba
5.636 1.401 0.000 Ac
5.625 -1.391 2.875 Ac
1.401 8.417 0.000 Ac
1.391 5.625 2.875 Ac
10.572 1.211 0.000 Tl
1.211 3.480 0.000 Tl
5.815 3.546 2.875 Tl
-3.546 5.815 2.875 Tl
```

Computed properties:
The crystal system is tetragonal. For the size of the total moment, the calculation gives 0.000 μB per formula unit. As for the space group: I4/m, No. 87. Its uncorrected energy is -2.98 eV per atom.